VASP calculation (PBE) on a relaxed structure of KTc2As2.

- energy above the lowest structure with this stoichiometry (eV per atom) = 0.000
- crystal system = tetragonal

a = 3.8729 Å, b = 3.8729 Å, c = 14.8282 Å
α = 90.00°, β = 90.00°, γ = 90.00°
With the nearest neighbours (Å) after each atom.
Space group I4/mmm (No. 139)
One atom of each set of equivalent atoms:
K (0.0000, 0.0000, 0.0000)  8 As 3.44
Tc (0.0000, 0.5000, 0.2500)  4 As 2.53, 4 Tc 2.74
As (0.0000, 0.0000, 0.3597)  4 Tc 2.53



VASP calculation (PBE) on a relaxed structure of K2TcAs.

- crystal system = tetragonal

a = 4.5991 Å, b = 4.5991 Å, c = 5.2477 Å
α = 90.00°, β = 90.00°, γ = 90.00°
With the nearest neighbours (Å) after each atom.
Space group P4/mmm (No. 123)
One atom of each set of equivalent atoms:
K (0.0000, 0.0000, 0.2488)  2 K 2.61-2.64
Tc (0.5000, 0.5000, 0.5000)  2 As 2.62
As (0.5000, 0.5000, 0.0000)  2 Tc 2.62



VASP calculation (PBE) on a relaxed structure of KTc4As2.

- crystal system = orthorhombic

a = 4.1075 Å, b = 16.8686 Å, c = 4.0208 Å
α = 90.00°, β = 90.00°, γ = 90.00°
With the nearest neighbours (Å) after each atom.
Space group Cmmm (No. 65)
One atom of each set of equivalent atoms:
K (0.0000, 0.0000, 0.0000)  8 As 3.41
Tc (0.0000, 0.1963, 0.5000)  2 As 2.53, 4 Tc 2.59-2.74
Tc (0.0000, 0.2934, 0.0000)  4 Tc 2.52-2.59, 2 As 2.60
As (0.0000, 0.3915, 0.5000)  4 Tc 2.53-2.60



VASP calculation (PBE) on a relaxed structure of K2TcAs.

- crystal system = monoclinic

a = 20.4645 Å, b = 3.1203 Å, c = 3.9502 Å
α = 90.00°, β = 100.59°, γ = 90.00°
With the nearest neighbours (Å) after each atom.
Space group C2/m (No. 12)
One atom of each set of equivalent atoms:
K (0.1469, 0.0000, 0.1403)  2 K 3.12, 2 As 3.34
Tc (0.0000, 0.0000, 0.5000)  4 As 2.52
As (0.0000, 0.5000, 0.0000)  4 Tc 2.52



VASP calculation (PBE) on a relaxed structure of KTcAs.

- energy above the lowest structure with this stoichiometry (eV per atom) = 0.612
- crystal system = trigonal

a = 3.3063 Å, b = 3.3063 Å, c = 7.1584 Å
α = 90.00°, β = 90.00°, γ = 120.00°
With the nearest neighbours (Å) after each atom.
Space group P3m1 (No. 156)
One atom of each set of equivalent atoms:
K (0.0000, 0.0000, 0.0000)  6 K 3.31, 3 As 3.31, 3 Tc 3.50
Tc (0.6667, 0.3333, 0.4098)  3 As 2.44
As (0.3333, 0.6667, 0.6217)  3 Tc 2.44



VASP calculation (PBE) on a relaxed structure of KTcAs3.

- energy above the lowest structure with this stoichiometry (eV per atom) = 2.236
- crystal system = cubic

a = 5.1061 Å, b = 5.1061 Å, c = 5.1061 Å
α = 90.00°, β = 90.00°, γ = 90.00°
With the nearest neighbours (Å) after each atom.
Space group Pm-3m (No. 221)
One atom of each set of equivalent atoms:
K (0.0000, 0.0000, 0.0000)  6 As 2.55
Tc (0.5000, 0.5000, 0.5000)  12 As 3.61
As (0.0000, 0.0000, 0.5000)  2 K 2.55



VASP calculation (PBE) on a relaxed structure of K2TcAs.

- crystal system = monoclinic

a = 7.2234 Å, b = 4.1698 Å, c = 9.8773 Å
α = 90.00°, β = 102.93°, γ = 90.00°
With the nearest neighbours (Å) after each atom.
Space group Cm (No. 8)
One atom of each set of equivalent atoms:
K (0.0000, 0.0000, 0.0000)  3 Tc 3.53, 3 As 3.53-3.54
K (0.1636, 0.0000, 0.5364)  3 As 3.52-3.53, 3 Tc 3.53-3.54
Tc (0.4154, 0.0000, 0.2680)  3 As 2.41
As (0.2490, 0.5000, 0.2689)  3 Tc 2.41



VASP calculation (PBE) on a relaxed structure of K2TcAs.

- crystal system = tetragonal

a = 12.6924 Å, b = 12.6924 Å, c = 4.7659 Å
α = 90.00°, β = 90.00°, γ = 90.00°
With the nearest neighbours (Å) after each atom.
Space group I-42d (No. 122)
One atom of each set of equivalent atoms:
K (0.0516, 0.2500, 0.1250)  2 As 3.29
Tc (0.0000, 0.0000, 0.5000)  2 As 2.38
As (0.0000, 0.0000, 0.0000)  2 Tc 2.38



no.,energy relative to the elements (eV/atom)
1,-0.26
2,0.78
3,-0.18
4,0.27
5,0.37
6,2.39
7,0.15
8,0.43